Density functional theory data (PBE) for crystalline HgBiPb4 at its relaxed geometry.

magnetization	0.0	μB/cell
energy of formation from the pure elements	192	meV per atom
symmetry	F-43m, No. 216
excess energy over the best structure of this formula in the dataset	1.051	eV per formula unit

Lattice parameters (Å, degrees): 6.5312 6.5312 6.5312 60.00 60.00 60.00
With the nearest neighbours (Å) after each atom.
Element x y z (fractional)
Pb1 0.6249 0.6249 0.1253  6 Pb 3.26-3.27
Pb2 0.6249 0.1253 0.6249  6 Pb 3.26-3.27
Pb3 0.6249 0.6249 0.6249  6 Pb 3.26-3.27
Pb4 0.1253 0.6249 0.6249  6 Pb 3.26-3.27
Bi1 0.0000 0.0000 0.0000  12 Pb 3.83, 4 Hg 4.00
Hg1 0.2500 0.2500 0.2500  12 Pb 3.83, 4 Bi 4.00

Density functional theory data (PBE) for crystalline Hg2Bi5Pb12 at its relaxed geometry.

magnetization	0.0	μB/cell
energy of formation from the pure elements	64	meV per atom
symmetry	C2/m, No. 12
excess energy over the best structure of this formula in the dataset	0.000	eV per formula unit

Lattice parameters (Å, degrees): 6.8924 8.4250 11.8342 109.62 106.93 90.00
With the nearest neighbours (Å) after each atom.
Element x y z (fractional)
Hg1 0.7536 0.0000 0.0000  6 Pb 3.22-3.54, 2 Hg 3.40-3.50
Hg2 0.2464 0.0000 0.0000  6 Pb 3.22-3.54, 2 Hg 3.40-3.50
Bi1 0.7569 0.5233 0.5138  9 Pb 3.36-3.73, 3 Bi 3.47-3.56
Bi2 0.6557 0.0914 0.3114  9 Pb 3.30-3.55, 1 Bi 3.56
Bi3 0.0000 0.5000 0.0000  4 Pb 3.28
Bi4 0.3443 0.9086 0.6886  9 Pb 3.30-3.55, 1 Bi 3.56
Bi5 0.2431 0.4767 0.4862  9 Pb 3.36-3.73, 3 Bi 3.47-3.56
Pb1 0.8588 0.9250 0.7176  3 Bi 3.36-3.46, 2 Hg 3.48, 4 Pb 3.52-3.54
Pb2 0.4452 0.7949 0.3996  6 Pb 3.38-3.66, 4 Bi 3.47-3.58
Pb3 0.9544 0.7949 0.3996  6 Pb 3.38-3.66, 4 Bi 3.47-3.58
Pb4 0.3585 0.3827 0.1984  1 Hg 3.22, 3 Bi 3.28-3.55, 5 Pb 3.32-3.60
Pb5 0.8399 0.3827 0.1984  1 Hg 3.22, 3 Bi 3.28-3.55, 5 Pb 3.32-3.60
Pb6 0.5498 0.7038 0.0996  1 Bi 3.30, 7 Pb 3.38-3.67, 2 Hg 3.54
Pb7 0.4502 0.2962 0.9004  1 Bi 3.30, 7 Pb 3.38-3.67, 2 Hg 3.54
Pb8 0.6415 0.6173 0.8016  1 Hg 3.22, 3 Bi 3.28-3.55, 5 Pb 3.32-3.60
Pb9 0.1601 0.6173 0.8016  1 Hg 3.22, 3 Bi 3.28-3.55, 5 Pb 3.32-3.60
Pb10 0.5548 0.2051 0.6004  6 Pb 3.38-3.66, 4 Bi 3.47-3.58
Pb11 0.0456 0.2051 0.6004  6 Pb 3.38-3.66, 4 Bi 3.47-3.58
Pb12 0.1412 0.0750 0.2824  3 Bi 3.36-3.46, 2 Hg 3.48, 4 Pb 3.52-3.54

Density functional theory data (PBE) for crystalline Hg2Bi3Pb7 at its relaxed geometry.

magnetization	0.0	μB/cell
energy of formation from the pure elements	48	meV per atom
symmetry	P2/m, No. 10
excess energy over the best structure of this formula in the dataset	0.000	eV per formula unit

Lattice parameters (Å, degrees): 3.4303 6.3230 19.5219 62.57 90.00 90.00
With the nearest neighbours (Å) after each atom.
Element x y z (fractional)
Hg1 0.5000 0.4733 0.3188  5 Pb 3.15-3.43, 2 Bi 3.30, 2 Hg 3.43
Hg2 0.5000 0.5267 0.6812  5 Pb 3.15-3.43, 2 Bi 3.30, 2 Hg 3.43
Bi1 0.5000 0.5000 0.0000  2 Bi 3.43, 10 Pb 3.44-3.65
Bi2 0.0000 0.2794 0.4812  4 Bi 3.20-3.43, 2 Hg 3.30, 2 Pb 3.45
Bi3 0.0000 0.7206 0.5188  4 Bi 3.20-3.43, 2 Hg 3.30, 2 Pb 3.45
Pb1 0.5000 0.9415 0.3460  2 Hg 3.15-3.24, 3 Pb 3.43-3.53, 2 Bi 3.45
Pb2 0.5000 0.0585 0.6540  2 Hg 3.15-3.24, 3 Pb 3.43-3.53, 2 Bi 3.45
Pb3 0.0000 0.4184 0.1754  9 Pb 3.43-3.72, 2 Hg 3.43, 2 Bi 3.65
Pb4 0.0000 0.0000 0.0000  8 Pb 3.43-3.69, 4 Bi 3.60
Pb5 0.0000 0.5816 0.8246  9 Pb 3.43-3.72, 2 Hg 3.43, 2 Bi 3.65
Pb6 0.5000 0.0430 0.8370  1 Hg 3.17, 7 Pb 3.43-3.53, 1 Bi 3.44
Pb7 0.5000 0.9570 0.1630  1 Hg 3.17, 7 Pb 3.43-3.53, 1 Bi 3.44

- Among the records above, which one has the highest excess energy over the best structure of this formula in the dataset?
  HgBiPb4

Repeat the second record exactly.
Density functional theory data (PBE) for crystalline Hg2Bi5Pb12 at its relaxed geometry.

magnetization	0.0	μB/cell
energy of formation from the pure elements	64	meV per atom
symmetry	C2/m, No. 12
excess energy over the best structure of this formula in the dataset	0.000	eV per formula unit

Lattice parameters (Å, degrees): 6.8924 8.4250 11.8342 109.62 106.93 90.00
With the nearest neighbours (Å) after each atom.
Element x y z (fractional)
Hg1 0.7536 0.0000 0.0000  6 Pb 3.22-3.54, 2 Hg 3.40-3.50
Hg2 0.2464 0.0000 0.0000  6 Pb 3.22-3.54, 2 Hg 3.40-3.50
Bi1 0.7569 0.5233 0.5138  9 Pb 3.36-3.73, 3 Bi 3.47-3.56
Bi2 0.6557 0.0914 0.3114  9 Pb 3.30-3.55, 1 Bi 3.56
Bi3 0.0000 0.5000 0.0000  4 Pb 3.28
Bi4 0.3443 0.9086 0.6886  9 Pb 3.30-3.55, 1 Bi 3.56
Bi5 0.2431 0.4767 0.4862  9 Pb 3.36-3.73, 3 Bi 3.47-3.56
Pb1 0.8588 0.9250 0.7176  3 Bi 3.36-3.46, 2 Hg 3.48, 4 Pb 3.52-3.54
Pb2 0.4452 0.7949 0.3996  6 Pb 3.38-3.66, 4 Bi 3.47-3.58
Pb3 0.9544 0.7949 0.3996  6 Pb 3.38-3.66, 4 Bi 3.47-3.58
Pb4 0.3585 0.3827 0.1984  1 Hg 3.22, 3 Bi 3.28-3.55, 5 Pb 3.32-3.60
Pb5 0.8399 0.3827 0.1984  1 Hg 3.22, 3 Bi 3.28-3.55, 5 Pb 3.32-3.60
Pb6 0.5498 0.7038 0.0996  1 Bi 3.30, 7 Pb 3.38-3.67, 2 Hg 3.54
Pb7 0.4502 0.2962 0.9004  1 Bi 3.30, 7 Pb 3.38-3.67, 2 Hg 3.54
Pb8 0.6415 0.6173 0.8016  1 Hg 3.22, 3 Bi 3.28-3.55, 5 Pb 3.32-3.60
Pb9 0.1601 0.6173 0.8016  1 Hg 3.22, 3 Bi 3.28-3.55, 5 Pb 3.32-3.60
Pb10 0.5548 0.2051 0.6004  6 Pb 3.38-3.66, 4 Bi 3.47-3.58
Pb11 0.0456 0.2051 0.6004  6 Pb 3.38-3.66, 4 Bi 3.47-3.58
Pb12 0.1412 0.0750 0.2824  3 Bi 3.36-3.46, 2 Hg 3.48, 4 Pb 3.52-3.54